[1]
Here is crystalline SmPdI at its relaxed geometry from the Alexandria database. Energies are from PBE.

Cell: 4.3764 4.3764 12.3076 Å, 79.76 79.76 60.00°
With the nearest neighbours (Å) after each atom.
Element x y z (fractional)
Sm  0.4476  0.4476  0.6573  3 Pd 2.95, 3 I 3.27
Sm  0.5524  0.5524  0.3427  3 Pd 2.95, 3 I 3.27
Pd  0.1564  0.1564  0.5309  3 Pd 2.63, 3 Sm 2.95
Pd  0.8436  0.8436  0.4691  3 Pd 2.63, 3 Sm 2.95
I  0.7235  0.7235  0.8296  3 Sm 3.27
I  0.2765  0.2765  0.1704  3 Sm 3.27

The value obtained for the formation energy without anion corrections is -1051 meV/atom. For the magnetic moment, the calculation gives 0.0 μB per cell.

[2]
Here is crystalline Sm4PdI5 at its relaxed geometry from the Alexandria database. Energies are from PBE.

Cell: 4.2000 9.1136 10.0606 Å, 102.42 102.05 90.00°
With the nearest neighbours (Å) after each atom.
Element x y z (fractional)
Sm  0.6482  0.0768  0.2964  1 Pd 2.85, 2 I 3.18
Sm  0.0006  0.2089  0.0012  2 Pd 2.83
Sm  0.3518  0.9232  0.7036  1 Pd 2.85, 2 I 3.18
Sm  0.9994  0.7911  0.9988  2 Pd 2.83
Pd  0.5000  0.0000  0.0000  6 Sm 2.83-2.85
I  0.1679  0.3451  0.3359  3 Sm 3.18-3.25
I  0.1756  0.8264  0.3513  4 Sm 3.23-3.41
I  0.8244  0.1736  0.6487  4 Sm 3.23-3.41
I  0.5000  0.5000  0.0000  4 Sm 3.39
I  0.8321  0.6549  0.6641  3 Sm 3.18-3.25

The value obtained for the formation energy without anion corrections is -1131 meV/atom. For the magnetic moment, the calculation gives 0.0 μB per cell.

[3]
Here is crystalline SmPdI2 at its relaxed geometry from the Alexandria database. Energies are from PBE.

Cell: 4.0506 4.0506 9.6993 Å, 77.95 77.95 60.00°
With the nearest neighbours (Å) after each atom.
Element x y z (fractional)
I  0.0919  0.0919  0.7244  1 Pd 2.59
I  0.9081  0.9081  0.2756  1 Pd 2.59
Pd  0.0000  0.0000  0.0000  2 I 2.59
Sm  0.5000  0.5000  0.5000  6 I 3.15

The value obtained for the formation energy without anion corrections is -527 meV/atom. For the magnetic moment, the calculation gives 0.0 μB per cell.

[4]
Here is crystalline SnPdI2 at its relaxed geometry from the Alexandria database. Energies are from PBE.

Cell: 7.0623 7.0623 7.8831 Å, 63.39 63.39 90.00°
With the nearest neighbours (Å) after each atom.
Element x y z (fractional)
I  0.5760  0.1250  0.2500  2 Pd 2.73
I  0.1740  0.6250  0.2500  2 Pd 2.73
I  0.3750  0.4240  0.7500  2 Pd 2.73
I  0.8750  0.8260  0.7500  2 Pd 2.73
Sn  0.0000  0.0000  0.0000  4 I 3.15
Sn  0.7500  0.2500  0.5000  4 I 3.15
Pd  0.5000  0.5000  0.0000  4 I 2.73
Pd  0.2500  0.7500  0.5000  4 I 2.73

The value obtained for the formation energy without anion corrections is 13 meV/atom. For the energy above the most stable polymorph in this dataset, the calculation gives 0.0 kJ/mol of atoms. For the magnetic moment, the calculation gives 0.0 μB per cell.

Number 1: V 199.8 Å³ per cell. Number 2: V 367.4 Å³ per cell. Number 3: V 133.8 Å³ per cell. Number 4: V 304.2 Å³ per cell.